AgSb3 | Alexandria | PBEsol | relaxed; energy relative to the lowest polymorph listed for this composition = 0.000 eV/atom; density = 7.71 g/cm3; symmetry = No. 166; raw total energy = -4.17 eV/atom; volume = 25.5 Å³ per atom; M_tot = 0.00 μB per cell
1.0
4.196 0.000 0.000
2.098 3.634 0.000
2.098 1.211 6.683
Sb Ag
3 1
Direct
0.740 0.740 0.779
0.260 0.260 0.221
0.500 0.500 0.500
0.000 0.000 0.000



Ag4Sb | Alexandria | PBEsol | relaxed; density = 10.13 g/cm3; symmetry = No. 87; raw total energy = -3.54 eV/atom; volume = 18.1 Å³ per atom; M_tot = 0.00 μB per cell
1.0
4.135 0.000 0.000
2.067 4.682 0.000
2.067 0.000 4.682
Ag Sb
4 1
Direct
0.807 0.593 0.794
0.399 0.794 0.407
0.193 0.407 0.206
0.601 0.206 0.593
0.000 0.000 0.000



AgSb3 | Alexandria | PBEsol | relaxed; energy relative to the lowest polymorph listed for this composition = 0.122 eV/atom; density = 8.22 g/cm3; symmetry = No. 47; raw total energy = -4.05 eV/atom; volume = 23.9 Å³ per atom; M_tot = 0.00 μB per cell
1.0
-1.991 -2.386 -0.712
1.007 0.270 -3.724
5.705 -5.111 1.173
Sb Ag
3 1
Direct
0.500 0.500 0.222
0.500 0.500 0.778
0.000 0.000 0.500
0.000 0.000 0.000



Ag3Sb | Alexandria | PBEsol | relaxed; density = 9.96 g/cm3; symmetry = No. 59; raw total energy = -3.61 eV/atom; volume = 18.6 Å³ per atom; M_tot = 0.00 μB per cell
1.0
-4.711 0.905 -0.166
-0.955 -5.108 -0.740
-0.355 -0.778 5.831
Ag Sb
6 2
Direct
0.500 0.155 0.751
0.000 0.324 0.500
0.000 0.845 0.749
0.500 0.155 0.249
0.500 0.676 0.000
0.000 0.845 0.251
0.500 0.663 0.500
0.000 0.337 0.000



Ag3Sb | Alexandria | PBEsol | relaxed; density = 9.74 g/cm3; symmetry = No. 223; raw total energy = -3.53 eV/atom; volume = 19.0 Å³ per atom; M_tot = 0.00 μB per cell
1.0
-2.740 4.384 1.322
-1.308 -2.225 4.670
4.388 2.074 2.217
Ag Sb
6 2
Direct
0.000 0.750 0.500
0.500 0.000 0.750
0.250 0.500 0.000
0.500 0.000 0.250
0.750 0.500 0.000
0.000 0.250 0.500
0.000 0.000 0.000
0.500 0.500 0.500



Ag3Sb | Alexandria | PBEsol | relaxed; density = 10.02 g/cm3; symmetry = No. 221; raw total energy = -3.61 eV/atom; volume = 18.5 Å³ per atom; M_tot = 0.00 μB per cell
1.0
-3.758 -1.790 0.522
0.056 -1.282 -3.994
1.864 -3.571 1.172
Ag Sb
3 1
Direct
0.500 0.000 0.500
0.000 0.500 0.500
0.500 0.500 0.000
0.000 0.000 0.000



Ag3Sb | Alexandria | PBEsol | relaxed; density = 9.95 g/cm3; symmetry = No. 194; raw total energy = -3.61 eV/atom; volume = 18.6 Å³ per atom; M_tot = 0.00 μB per cell
1.0
4.744 0.000 0.000
0.000 6.015 0.000
0.000 -3.007 5.209
Ag Sb
6 2
Direct
0.250 0.323 0.161
0.250 0.839 0.161
0.750 0.161 0.323
0.750 0.161 0.839
0.250 0.839 0.677
0.750 0.677 0.839
0.750 0.667 0.333
0.250 0.333 0.667



AgSb3 | Alexandria | PBEsol | relaxed; energy relative to the lowest polymorph listed for this composition = 0.079 eV/atom; density = 7.81 g/cm3; symmetry = No. 44; raw total energy = -4.10 eV/atom; volume = 25.1 Å³ per atom; M_tot = 0.00 μB per cell
1.0
-0.361 -2.549 1.681
3.018 -3.013 -3.921
3.446 3.941 3.903
Sb Ag
3 1
Direct
0.500 0.524 0.000
0.307 0.984 0.614
0.693 0.369 0.386
0.000 0.957 0.000